1.
First-principles (GGA-PBE) data for a geometry-optimized HgGeS2 structure, as listed in the Alexandria database.

Computed properties:
Uncorrected formation energy ... 0.33 eV/atom

Geometry as CIF:
```
data_HgGeS2
_cell_length_a 3.9785
_cell_length_b 3.9785
_cell_length_c 22.7652
_cell_angle_alpha 90.00
_cell_angle_beta 90.00
_cell_angle_gamma 120.00
_space_group_name_H-M_alt 'R -3 m'
_space_group_IT_number 166
_space_group_name_Hall '-R 3 2"'
loop_
_atom_site_label
_atom_site_type_symbol
_atom_site_fract_x
_atom_site_fract_y
_atom_site_fract_z
Hg1 Hg 0.0000 0.0000 0.0000
Ge1 Ge 0.0000 0.0000 0.5000
S1 S 0.0000 0.0000 0.3993
```

2.
First-principles (GGA-PBE) data for a geometry-optimized HgGeS structure, as listed in the Alexandria database.

Computed properties:
Uncorrected formation energy ... -0.14 eV/atom

Geometry as CIF:
```
data_HgGeS
_cell_length_a 3.5100
_cell_length_b 3.5100
_cell_length_c 7.7949
_cell_angle_alpha 90.00
_cell_angle_beta 90.00
_cell_angle_gamma 120.00
_space_group_name_H-M_alt 'P 3 m 1'
_space_group_IT_number 156
loop_
_space_group_symop_operation_xyz
'x,y,z'
'-y,x-y,z'
'-x+y,-x,z'
'-y,-x,z'
'-x+y,y,z'
'x,x-y,z'
loop_
_atom_site_label
_atom_site_type_symbol
_atom_site_fract_x
_atom_site_fract_y
_atom_site_fract_z
Hg1 Hg 0.0000 0.0000 0.0000
Ge1 Ge 0.6667 0.3333 0.3802
S1 S 0.3333 0.6667 0.5539
```

3.
First-principles (GGA-PBE) data for a geometry-optimized HgGeS2 structure, as listed in the Alexandria database.

Computed properties:
Uncorrected formation energy ... -0.01 eV/atom

Geometry as CIF:
```
data_HgGeS2
_cell_length_a 5.960
_cell_length_b 5.960
_cell_length_c 12.463
_cell_angle_alpha 90.00
_cell_angle_beta 90.00
_cell_angle_gamma 90.00
_space_group_name_H-M_alt 'I -4 2 d'
_space_group_IT_number 122
_space_group_name_Hall 'I -4 2bw'
loop_
_atom_site_label
_atom_site_type_symbol
_atom_site_fract_x
_atom_site_fract_y
_atom_site_fract_z
Hg1 Hg 0.000 0.000 0.000
Ge1 Ge 0.000 0.000 0.500
S1 S 0.248 0.250 0.125
```

4.
First-principles (GGA-PBE) data for a geometry-optimized HgGeS structure, as listed in the Alexandria database.

Computed properties:
Uncorrected formation energy ... 0.00 eV/atom

Geometry as CIF:
```
data_HgGeS
_cell_length_a 5.771
_cell_length_b 5.829
_cell_length_c 5.838
_cell_angle_alpha 63.76
_cell_angle_beta 63.84
_cell_angle_gamma 85.88
_space_group_name_H-M_alt 'P 1'
_space_group_IT_number 1
loop_
_space_group_symop_operation_xyz
'x,y,z'
loop_
_atom_site_label
_atom_site_type_symbol
_atom_site_fract_x
_atom_site_fract_y
_atom_site_fract_z
Hg1 Hg 0.000 0.000 0.000
Hg2 Hg 0.458 0.544 0.003
Ge1 Ge 0.507 0.051 0.283
Ge2 Ge 0.987 0.529 0.961
S1 S 0.172 0.712 0.470
S2 S 0.513 0.054 0.672
```

Copy entry 3 word for word.
First-principles (GGA-PBE) data for a geometry-optimized HgGeS2 structure, as listed in the Alexandria database.

Computed properties:
Uncorrected formation energy ... -0.01 eV/atom

Geometry as CIF:
```
data_HgGeS2
_cell_length_a 5.960
_cell_length_b 5.960
_cell_length_c 12.463
_cell_angle_alpha 90.00
_cell_angle_beta 90.00
_cell_angle_gamma 90.00
_space_group_name_H-M_alt 'I -4 2 d'
_space_group_IT_number 122
_space_group_name_Hall 'I -4 2bw'
loop_
_atom_site_label
_atom_site_type_symbol
_atom_site_fract_x
_atom_site_fract_y
_atom_site_fract_z
Hg1 Hg 0.000 0.000 0.000
Ge1 Ge 0.000 0.000 0.500
S1 S 0.248 0.250 0.125
```

What is the uncorrected formation energy in the fourth record?
0.00 eV/atom

What is the formula in the third record?
HgGeS2

Which value of uncorrected formation energy does entry 1 give?
0.33 eV/atom